Entry from Alexandria via LeMat-Bulk: a geometry-optimized LiSiS2Cl structure (PBE).

abc: 4.482 4.482 5.130
angles: 90.00 90.00 90.00
Fractional coordinates of all 5 atoms:
Li 0.000 0.000 0.000
Si 0.500 0.500 0.500
S 0.000 0.500 0.500
S 0.500 0.000 0.500
Cl 0.500 0.500 0.000

As for the total energy: -19.46 eV per cell. The polymorph energy (0 for the lowest one) is 0.000 eV/atom. The value obtained for the formation energy without anion corrections is -0.41 eV/atom. The value obtained for the density of states at the Fermi level is 0.583 states/eV per cell. Its symmetry is No. 123.